## Tc2NiPb (PBE)

Data for a relaxed structure of Tc2NiPb.

a b c (Å): 8.7888 8.7888 8.7888
angles (deg): 19.40 19.40 19.40
Fractional coordinates of all 4 atoms:
Tc 0.9906 0.9906 0.9906
Tc 0.5094 0.5094 0.5094
Pb 0.7500 0.7500 0.7500
Ni 0.2500 0.2500 0.2500

SG	R-3m
formation enthalpy at 0 K	0.744	eV per atom
crystal system	trigonal

## TlPbCl2 (PBE)

Data for a relaxed structure of TlPbCl2.

a b c (Å): 5.8278 3.6498 6.8807
angles (deg): 57.99 90.00 90.00
Fractional coordinates of all 4 atoms:
Cl 0.0000 0.0012 0.8741
Cl 0.5000 0.4976 0.3771
Pb 0.0000 0.5025 0.3741
Tl 0.5000 0.4987 0.8748

formation energy from raw total energies	-308	kJ/mol of formula units
SG	Pm
crystal system	monoclinic
distance to the lowest polymorph of the same formula	10.4	meV/atom

## VCoB3 (PBE)

Data for a relaxed structure of VCoB3.

a b c (Å): 3.6745 3.6745 3.6745
angles (deg): 90.00 90.00 90.00
Each line ends with the local moment (μB).
Fractional coordinates of all 5 atoms:
B 0.5000 0.0000 0.0000  -0.02
B 0.0000 0.0000 0.5000  -0.02
B 0.0000 0.5000 0.0000  -0.02
V 0.5000 0.5000 0.5000  1.77
Co 0.0000 0.0000 0.0000  0.18

SG	Pm-3m
formation enthalpy at 0 K	0.727	eV per atom
crystal system	cubic

## SrScMoH2 (PBE)

Data for a relaxed structure of SrScMoH2.

a b c (Å): 4.1556 6.9340 4.1556
angles (deg): 90.00 90.00 90.00
Each line ends with the local moment (μB).
Fractional coordinates of all 5 atoms:
Mo 0.5000 0.5000 0.5000  3.12
H 0.0000 0.0000 0.5000  0.01
H 0.5000 0.0000 0.0000  0.01
Sr 0.0000 0.5000 0.0000  0.07
Sc 0.0000 0.0000 0.0000  -0.50

SG	P4/mmm
crystal system	tetragonal
E_tot	-19.84	eV per cell

## Nd5Hg2RuRh2 (PBE)

Data for a relaxed structure of Nd5Hg2RuRh2.

a b c (Å): 3.6639 11.8577 11.8577
angles (deg): 90.00 90.00 90.00
Fractional coordinates of all 20 atoms:
Hg 0.0000 0.1761 0.3239
Hg 0.0000 0.3239 0.8239
Hg 0.0000 0.6761 0.1761
Hg 0.0000 0.8239 0.6761
Nd 0.5000 0.5770 0.6915
Nd 0.5000 0.4230 0.3085
Nd 0.5000 0.8085 0.9230
Nd 0.5000 0.1915 0.0770
Nd 0.5000 0.0000 0.5000
Nd 0.5000 0.6915 0.4230
Nd 0.5000 0.3085 0.5770
Nd 0.5000 0.0770 0.8085
Nd 0.5000 0.5000 0.0000
Nd 0.5000 0.9230 0.1915
Rh 0.0000 0.1334 0.6334
Rh 0.0000 0.3666 0.1334
Rh 0.0000 0.6334 0.8666
Rh 0.0000 0.8666 0.3666
Ru 0.0000 0.5000 0.5000
Ru 0.0000 0.0000 0.0000

SG	P4/mbm
formation enthalpy at 0 K	-0.411	eV per atom
crystal system	tetragonal

## AcCd2GeAu4 (PBE)

Data for a relaxed structure of AcCd2GeAu4.

a b c (Å): 4.6675 4.6675 10.0066
angles (deg): 76.51 76.51 60.00
Fractional coordinates of all 8 atoms:
Ac 0.0000 0.0000 0.0000
Au 0.3959 0.3959 0.8123
Au 0.6041 0.6041 0.1877
Au 0.8672 0.8672 0.3985
Au 0.1328 0.1328 0.6015
Ge 0.5000 0.5000 0.5000
Cd 0.7584 0.7584 0.7248
Cd 0.2416 0.2416 0.2752

SG	R-3m
formation enthalpy at 0 K	-0.337	eV per atom
crystal system	trigonal

## Ba3Zn9Pd2 (PBE)

Data for a relaxed structure of Ba3Zn9Pd2.

a b c (Å): 4.3866 9.1824 9.1824
angles (deg): 64.85 76.18 76.18
Fractional coordinates of all 14 atoms:
Zn 0.8941 0.3973 0.8145
Zn 0.3553 0.9885 0.3009
Zn 0.8941 0.8145 0.3973
Zn 0.1059 0.6027 0.1855
Zn 0.1059 0.1855 0.6027
Zn 0.0000 0.5000 0.5000
Zn 0.3553 0.3009 0.9885
Zn 0.6447 0.6991 0.0115
Zn 0.6447 0.0115 0.6991
Pd 0.5000 0.3209 0.6791
Pd 0.5000 0.6791 0.3209
Ba 0.0000 0.0000 0.0000
Ba 0.2897 0.7103 0.7103
Ba 0.7103 0.2897 0.2897

SG	Immm
formation enthalpy at 0 K	-0.279	eV per atom
crystal system	orthorhombic

## Sr2CeBe2O6 (PBE)

Data for a relaxed structure of Sr2CeBe2O6.

a b c (Å): 5.6066 5.6066 6.0428
angles (deg): 90.00 90.00 120.00
Fractional coordinates of all 11 atoms:
Sr 0.6667 0.3333 0.6571
Sr 0.3333 0.6667 0.3429
O 0.2677 0.3662 0.7779
O 0.6338 0.9015 0.7779
O 0.3662 0.0985 0.2221
O 0.0985 0.7323 0.7779
O 0.9015 0.2677 0.2221
O 0.7323 0.6338 0.2221
Ce 0.0000 0.0000 0.0000
Be 0.3333 0.6667 0.8052
Be 0.6667 0.3333 0.1948

formation energy from raw total energies	-2953	kJ/mol of formula units
SG	P-3
crystal system	trigonal

no.,D(E_F) (states/eV per atom)
1,1.32
2,0.33
3,1.02
4,0.48
5,0.63
6,0.30
7,0.43
8,0.00